# Ta2AgIr

Crystalline Ta2AgIr at its relaxed geometry (PBE, the Alexandria database).

Summary:
Formation enthalpy at 0 K = -0.1055 eV/atom
Space-group type = No. 10

Cell: 4.100 2.867 6.411 Å, 62.99 90.00 90.00°
Fractional coordinates of all 4 atoms:
Ta: 0.000 0.484 0.514
Ta: 0.000 0.016 0.986
Ag: 0.500 0.250 0.250
Ir: 0.500 0.750 0.750

---

# NaTi2Fe

Crystalline NaTi2Fe at its relaxed geometry (PBE, the Alexandria database).

Summary:
Formation enthalpy at 0 K = 0.4769 eV/atom
Energy above the lowest structure with this stoichiometry = 0 meV per atom
Space-group type = No. 225

Cell: 4.433 4.433 4.433 Å, 60.00 60.00 60.00°
Fractional coordinates of all 4 atoms:
Fe: 0.500 0.500 0.500
Na: 0.000 0.000 0.000
Ti: 0.750 0.750 0.750
Ti: 0.250 0.250 0.250

---

# YNbIn

Crystalline YNbIn at its relaxed geometry (PBE, the Alexandria database).

Summary:
Formation enthalpy at 0 K = -0.1866 eV/atom
Space-group type = No. 129

Cell: 4.214 4.214 8.255 Å, 90.00 90.00 90.00°
Fractional coordinates of all 6 atoms:
Y: 0.500 0.000 0.161
Y: 0.000 0.500 0.839
Nb: 0.000 0.000 0.500
Nb: 0.500 0.500 0.500
In: 0.000 0.500 0.244
In: 0.500 0.000 0.756

---

# CuSiNiIr

Crystalline CuSiNiIr at its relaxed geometry (PBE, the Alexandria database).

Summary:
Formation energy without anion corrections = -0.3076 eV/atom
Space-group type = No. 216

Cell: 4.110 4.110 4.110 Å, 60.00 60.00 60.00°
Fractional coordinates of all 4 atoms:
Ni: 0.500 0.500 0.500
Cu: 0.250 0.250 0.250
Ir: 0.000 0.000 0.000
Si: 0.750 0.750 0.750

---

# Ho3Pu3ScTe8

Crystalline Ho3Pu3ScTe8 at its relaxed geometry (PBE, the Alexandria database).

Summary:
Formation energy without anion corrections = -1.2287 eV/atom
Space-group type = No. 166

Cell: 8.704 8.704 8.748 Å, 119.83 90.00 120.00°
Last column: magnetic moment on the atom in μB.
Fractional coordinates of all 15 atoms:
Te: 0.251 0.005 0.259  -0.04
Te: 0.754 0.509 0.259  -0.04
Te: 0.252 0.504 0.255  -0.04
Te: 0.749 0.995 0.741  -0.04
Te: 0.246 0.491 0.741  -0.04
Te: 0.246 0.995 0.741  -0.04
Te: 0.754 0.005 0.259  -0.04
Te: 0.748 0.496 0.745  -0.04
Pu: 0.000 0.500 0.000  5.53
Pu: 0.500 0.500 0.000  5.53
Pu: 0.000 0.000 0.000  5.53
Ho: 0.500 0.000 0.500  0.04
Ho: 0.500 0.500 0.500  0.04
Ho: 0.000 0.500 0.500  0.04
Sc: 0.000 0.000 0.500  0.18

---

# Ac2Ga4Ni

Crystalline Ac2Ga4Ni at its relaxed geometry (PBE, the Alexandria database).

Summary:
Formation enthalpy at 0 K = -0.2784 eV/atom
Space-group type = No. 123

Cell: 5.062 5.977 5.977 Å, 90.00 90.00 90.00°
Fractional coordinates of all 7 atoms:
Ga: 0.000 0.720 0.280
Ga: 0.000 0.280 0.720
Ga: 0.000 0.720 0.720
Ga: 0.000 0.280 0.280
Ac: 0.500 0.500 0.000
Ac: 0.500 0.000 0.500
Ni: 0.000 0.000 0.000

---

# Na3Sc3NbO8

Crystalline Na3Sc3NbO8 at its relaxed geometry (PBE, the Alexandria database).

Summary:
Formation energy without anion corrections = -2.7329 eV/atom
Space-group type = No. 166

Cell: 6.358 6.359 6.651 Å, 118.55 90.00 120.00°
Last column: magnetic moment on the atom in μB.
Fractional coordinates of all 15 atoms:
O: 0.773 0.546 0.306  0.01
O: 0.740 0.967 0.694  0.01
O: 0.266 0.532 0.298  0.00
O: 0.734 0.468 0.702  0.00
O: 0.260 0.033 0.306  0.01
O: 0.227 0.454 0.694  0.01
O: 0.773 0.033 0.306  0.01
O: 0.227 0.967 0.694  0.01
Na: 0.000 0.500 0.000  0.00
Na: 0.500 0.500 0.000  0.00
Na: 0.000 0.000 0.000  0.00
Sc: 0.500 0.500 0.500  0.04
Sc: 0.500 0.000 0.500  0.04
Sc: 0.000 0.500 0.500  0.04
Nb: 0.000 0.000 0.500  0.71

---

# LiAs2Pd8

Crystalline LiAs2Pd8 at its relaxed geometry (PBE, the Alexandria database).

Summary:
Formation enthalpy at 0 K = -0.3167 eV/atom
Energy above the lowest structure with this stoichiometry = 10 meV per atom
Space-group type = No. 12

Cell: 4.489 6.634 6.634 Å, 111.81 99.48 99.48°
Fractional coordinates of all 11 atoms:
Pd: 0.905 0.928 0.679
Pd: 0.328 0.627 0.627
Pd: 0.095 0.321 0.072
Pd: 0.500 0.235 0.765
Pd: 0.500 0.765 0.235
Pd: 0.095 0.072 0.321
Pd: 0.672 0.373 0.373
Pd: 0.905 0.679 0.928
As: 0.000 0.321 0.679
As: 0.000 0.679 0.321
Li: 0.500 0.000 0.000

---

| no. | total magnetization (μB/cell) |
| --- | --- |
| 1 | 0.000 |
| 2 | 0.000 |
| 3 | 0.000 |
| 4 | 0.001 |
| 5 | 17.878 |
| 6 | 0.000 |
| 7 | 1.025 |
| 8 | 0.000 |